Here is a relaxed Li4Cr5Sn3O16 crystal from Alexandria via LeMat-Bulk. Energies are from PBE with a Hubbard U.

Calculated values
ρ	4.82	Mg/m³
DFT total energy	-6.7159	eV per atom
crystal system	monoclinic
Fermi-level density of states	2.70	states/eV/f.u.

CIF file:
```
data_Li4Cr5Sn3O16
_cell_length_a 6.087
_cell_length_b 6.087
_cell_length_c 9.641
_cell_angle_alpha 89.80
_cell_angle_beta 89.80
_cell_angle_gamma 60.12
_space_group_name_H-M_alt 'P 1'
_space_group_IT_number 1
loop_
_space_group_symop_operation_xyz
'x,y,z'
loop_
_atom_site_label
_atom_site_type_symbol
_atom_site_fract_x
_atom_site_fract_y
_atom_site_fract_z
O1 O 0.961 0.525 0.345
O2 O 0.490 0.044 0.843
O3 O 0.164 0.164 0.092
O4 O 0.520 0.520 0.349
O5 O 0.672 0.162 0.099
O6 O 0.834 0.834 0.610
O7 O 0.672 0.672 0.098
O8 O 0.996 0.996 0.317
O9 O 0.338 0.338 0.603
O10 O 0.162 0.672 0.099
O11 O 0.829 0.327 0.598
O12 O 0.327 0.829 0.598
O13 O 0.044 0.490 0.843
O14 O 0.995 0.995 0.808
O15 O 0.525 0.961 0.345
O16 O 0.479 0.479 0.833
Cr1 Cr 0.668 0.668 0.488
Cr2 Cr 0.339 0.339 0.982
Cr3 Cr 0.662 0.170 0.711
Cr4 Cr 0.831 0.831 0.216
Cr5 Cr 0.170 0.662 0.711
Sn1 Sn 0.832 0.338 0.212
Sn2 Sn 0.338 0.832 0.212
Sn3 Sn 0.170 0.170 0.714
Li1 Li 0.672 0.672 0.890
Li2 Li 0.335 0.335 0.398
Li3 Li 0.994 0.994 0.501
Li4 Li 0.983 0.983 0.991
```